Computed, not measured: K3HfCd after structural relaxation at the GGA-PBE level of DFT.

**Uncorrected energy**: -8.26 eV per cell
**Energy above the lowest structure with this stoichiometry**: 64 meV per atom

Cell: 6.849 6.849 6.849 Å, 90.00 90.00 90.00°
Atoms (fractional coordinates):
1 K 0.000 0.500 0.000
2 K 0.000 0.000 0.500
3 K 0.500 0.000 0.000
4 Hf 0.000 0.000 0.000
5 Cd 0.500 0.500 0.500


Computed, not measured: VCu2I after structural relaxation at the GGA-PBE level of DFT.

**Uncorrected energy**: -32.01 eV per cell
**Raw formation energy**: 0.714 eV/atom
**Energy above the lowest structure with this stoichiometry**: 0 meV per atom

Cell: 7.477 7.477 5.896 Å, 50.65 50.65 90.00°
Atoms (fractional coordinates):
1 Cu 0.875 0.869 0.750
2 Cu 0.131 0.625 0.250
3 Cu 0.375 0.381 0.750
4 Cu 0.619 0.125 0.250
5 V 0.500 0.500 0.000
6 V 0.250 0.750 0.500
7 I 0.750 0.250 0.500
8 I 0.000 0.000 0.000


Question: Among the records above, which one has the highest uncorrected energy?
Answer: K3HfCd